Here is an optimized crystal structure of LiGdHgSe3 from OQMD via LeMat-Bulk. Energies are from PBE-GGA.

Lattice parameters (Å, degrees): 6.9881 6.9881 11.1566 90.00 90.00 145.83
Fractional coordinates of all 12 atoms:
Li 0.2266 0.7734 0.7500
Li 0.7734 0.2266 0.2500
Gd 0.0000 0.0000 0.0000
Gd 0.0000 0.0000 0.5000
Hg 0.4737 0.5263 0.2500
Hg 0.5263 0.4737 0.7500
Se 0.1048 0.8952 0.2500
Se 0.3546 0.6454 0.0624
Se 0.3546 0.6454 0.4376
Se 0.6454 0.3546 0.5624
Se 0.6454 0.3546 0.9376
Se 0.8952 0.1048 0.7500

- Magnetic moment: 0.0 μB per cell
- Crystal system: orthorhombic
- Space group: Cmcm, No. 63
- Uncorrected energy: -3.94 eV/atom
- Offset from the most stable computed form: 79 meV/atom

Here is an optimized crystal structure of GdLu6Hg from OQMD via LeMat-Bulk. Energies are from PBE-GGA.

Lattice parameters (Å, degrees): 6.9227 6.9227 5.4823 90.00 90.00 120.00
Fractional coordinates of all 8 atoms:
Gd 0.0000 0.0000 0.0000
Lu 0.0000 0.5000 0.0000
Lu 0.3280 0.1640 0.5000
Lu 0.5000 0.0000 0.0000
Lu 0.5000 0.5000 0.0000
Lu 0.8360 0.1640 0.5000
Lu 0.8360 0.6720 0.5000
Hg 0.3333 0.6667 0.5000

- Magnetic moment: 0.3 μB per cell
- DFT formation energy: -0.021 eV per atom
- Crystal system: hexagonal
- Space group: P-6m2, No. 187
- Uncorrected energy: -4.03 eV/atom

Here is an optimized crystal structure of GdLuHg from OQMD via LeMat-Bulk. Energies are from PBE-GGA.

Lattice parameters (Å, degrees): 5.0625 5.0625 5.0625 60.00 60.00 60.00
Fractional coordinates of all 3 atoms:
Gd 0.0000 0.0000 0.0000
Lu 0.5000 0.5000 0.5000
Hg 0.2500 0.2500 0.2500

- Magnetic moment: 0.0 μB per cell
- DFT formation energy: -0.118 eV per atom
- Crystal system: cubic
- Space group: F-43m, No. 216
- Uncorrected energy: -3.28 eV/atom
- Offset from the most stable computed form: 0 meV/atom

Repeat the third record exactly.
Here is an optimized crystal structure of GdLuHg from OQMD via LeMat-Bulk. Energies are from PBE-GGA.

Lattice parameters (Å, degrees): 5.0625 5.0625 5.0625 60.00 60.00 60.00
Fractional coordinates of all 3 atoms:
Gd 0.0000 0.0000 0.0000
Lu 0.5000 0.5000 0.5000
Hg 0.2500 0.2500 0.2500

- Magnetic moment: 0.0 μB per cell
- DFT formation energy: -0.118 eV per atom
- Crystal system: cubic
- Space group: F-43m, No. 216
- Uncorrected energy: -3.28 eV/atom
- Offset from the most stable computed form: 0 meV/atom

Repeat the first record exactly.
Here is an optimized crystal structure of LiGdHgSe3 from OQMD via LeMat-Bulk. Energies are from PBE-GGA.

Lattice parameters (Å, degrees): 6.9881 6.9881 11.1566 90.00 90.00 145.83
Fractional coordinates of all 12 atoms:
Li 0.2266 0.7734 0.7500
Li 0.7734 0.2266 0.2500
Gd 0.0000 0.0000 0.0000
Gd 0.0000 0.0000 0.5000
Hg 0.4737 0.5263 0.2500
Hg 0.5263 0.4737 0.7500
Se 0.1048 0.8952 0.2500
Se 0.3546 0.6454 0.0624
Se 0.3546 0.6454 0.4376
Se 0.6454 0.3546 0.5624
Se 0.6454 0.3546 0.9376
Se 0.8952 0.1048 0.7500

- Magnetic moment: 0.0 μB per cell
- Crystal system: orthorhombic
- Space group: Cmcm, No. 63
- Uncorrected energy: -3.94 eV/atom
- Offset from the most stable computed form: 79 meV/atom

> Among the records above, which one has the highest uncorrected energy?

GdLuHg

Repeat the second record exactly.
Here is an optimized crystal structure of GdLu6Hg from OQMD via LeMat-Bulk. Energies are from PBE-GGA.

Lattice parameters (Å, degrees): 6.9227 6.9227 5.4823 90.00 90.00 120.00
Fractional coordinates of all 8 atoms:
Gd 0.0000 0.0000 0.0000
Lu 0.0000 0.5000 0.0000
Lu 0.3280 0.1640 0.5000
Lu 0.5000 0.0000 0.0000
Lu 0.5000 0.5000 0.0000
Lu 0.8360 0.1640 0.5000
Lu 0.8360 0.6720 0.5000
Hg 0.3333 0.6667 0.5000

- Magnetic moment: 0.3 μB per cell
- DFT formation energy: -0.021 eV per atom
- Crystal system: hexagonal
- Space group: P-6m2, No. 187
- Uncorrected energy: -4.03 eV/atom